Record 1
Density functional theory data (PBE-GGA) for a geometry-optimized Os3PdPb structure.

Summary:
The value obtained for the formation energy is 2.445 eV/atom. The uncorrected energy comes out at -0.2232 Ha/atom.

a b c (Å): 4.802 4.802 4.802
angles (deg): 90.00 90.00 90.00
Atoms (fractional coordinates):
1 Os 0.500 0.000 0.000
2 Os 0.000 0.000 0.500
3 Os 0.000 0.500 0.000
4 Pb 0.500 0.500 0.500
5 Pd 0.000 0.000 0.000


Record 2
Density functional theory data (PBE-GGA) for a geometry-optimized OsPd3Pb structure.

Summary:
The value obtained for the formation energy is 1.750 eV/atom. The uncorrected energy comes out at -0.1600 Ha/atom.

a b c (Å): 4.962 4.962 4.962
angles (deg): 90.00 90.00 90.00
Atoms (fractional coordinates):
1 Pd 0.000 0.000 0.500
2 Pd 0.000 0.500 0.000
3 Pd 0.500 0.000 0.000
4 Os 0.500 0.500 0.500
5 Pb 0.000 0.000 0.000


Record 3
Density functional theory data (PBE-GGA) for a geometry-optimized OsPd3Pb structure.

Summary:
The value obtained for the formation energy is 0.975 eV/atom. The uncorrected energy comes out at -0.1884 Ha/atom.

a b c (Å): 4.869 4.869 4.869
angles (deg): 90.00 90.00 90.00
Atoms (fractional coordinates):
1 Os 0.000 0.000 0.000
2 Pb 0.500 0.500 0.500
3 Pd 0.000 0.000 0.500
4 Pd 0.000 0.500 0.000
5 Pd 0.500 0.000 0.000


Record 4
Density functional theory data (PBE-GGA) for a geometry-optimized SnOsPd2Pb structure.

Summary:
The value obtained for the formation energy is 0.741 eV/atom. The uncorrected energy comes out at -0.1883 Ha/atom.

a b c (Å): 4.966 5.040 4.966
angles (deg): 90.00 90.00 90.00
Atoms (fractional coordinates):
1 Os 0.000 0.000 0.000
2 Pb 0.500 0.500 0.500
3 Pd 0.500 0.000 0.000
4 Pd 0.000 0.000 0.500
5 Sn 0.000 0.500 0.000


Record 5
Density functional theory data (PBE-GGA) for a geometry-optimized Zr2OsPdPb structure.

Summary:
The value obtained for the formation energy is 1.675 eV/atom. The uncorrected energy comes out at -0.2121 Ha/atom.

a b c (Å): 5.320 4.799 5.320
angles (deg): 90.00 90.00 90.00
Atoms (fractional coordinates):
1 Pd 0.000 0.500 0.000
2 Zr 0.000 0.000 0.500
3 Zr 0.500 0.000 0.000
4 Os 0.500 0.500 0.500
5 Pb 0.000 0.000 0.000


Record 6
Density functional theory data (PBE-GGA) for a geometry-optimized PmOsPb structure.

Summary:
The value obtained for the formation energy is 0.134 eV/atom. The uncorrected energy comes out at -0.2363 Ha/atom.

a b c (Å): 3.337 3.337 13.406
angles (deg): 90.00 90.00 90.00
Atoms (fractional coordinates):
1 Pm 0.500 0.000 0.800
2 Pm 0.000 0.500 0.200
3 Pb 0.500 0.000 0.400
4 Pb 0.000 0.500 0.600
5 Os 0.000 0.500 0.960
6 Os 0.500 0.000 0.040


Record 7
Density functional theory data (PBE-GGA) for a geometry-optimized Pm12OsPb6 structure.

Summary:
The value obtained for the formation energy is -0.260 eV/atom. The uncorrected energy comes out at -0.1846 Ha/atom.

a b c (Å): 8.869 8.869 8.869
angles (deg): 99.13 99.13 99.13
Atoms (fractional coordinates):
1 Pb 0.121 0.651 0.317
2 Pb 0.651 0.317 0.121
3 Pb 0.317 0.121 0.651
4 Pb 0.879 0.349 0.683
5 Pb 0.349 0.683 0.879
6 Pb 0.683 0.879 0.349
7 Os 0.000 0.000 0.000
8 Pm 0.424 0.557 0.198
9 Pm 0.685 0.948 0.004
10 Pm 0.004 0.685 0.948
11 Pm 0.198 0.424 0.557
12 Pm 0.315 0.052 0.996
13 Pm 0.052 0.996 0.315
14 Pm 0.443 0.802 0.576
15 Pm 0.576 0.443 0.802
16 Pm 0.948 0.004 0.685
17 Pm 0.996 0.315 0.052
18 Pm 0.557 0.198 0.424
19 Pm 0.802 0.576 0.443


Record 8
Density functional theory data (PBE-GGA) for a geometry-optimized Pm8OsPb2 structure.

Summary:
The value obtained for the formation energy is -0.240 eV/atom. The uncorrected energy comes out at -0.1981 Ha/atom.

a b c (Å): 5.184 6.918 10.227
angles (deg): 106.97 104.68 90.00
Atoms (fractional coordinates):
1 Pm 0.015 0.788 0.029
2 Pm 0.985 0.212 0.971
3 Pm 0.356 0.007 0.712
4 Pm 0.784 0.681 0.567
5 Pm 0.588 0.450 0.176
6 Pm 0.412 0.550 0.824
7 Pm 0.216 0.319 0.433
8 Pm 0.644 0.993 0.288
9 Pb 0.822 0.255 0.644
10 Pb 0.178 0.745 0.356
11 Os 0.500 0.000 0.000


Record 9
Density functional theory data (PBE-GGA) for a geometry-optimized Pm4OsPb structure.

Summary:
The value obtained for the formation energy is -0.311 eV/atom. The uncorrected energy comes out at -0.2193 Ha/atom.

a b c (Å): 6.292 8.257 8.257
angles (deg): 114.20 101.10 101.10
Atoms (fractional coordinates):
1 Pb 0.250 0.372 0.628
2 Pb 0.750 0.628 0.372
3 Pm 0.135 0.349 0.209
4 Pm 0.558 0.277 0.940
5 Pm 0.058 0.940 0.277
6 Pm 0.865 0.651 0.791
7 Pm 0.942 0.060 0.723
8 Pm 0.365 0.791 0.651
9 Pm 0.635 0.209 0.349
10 Pm 0.442 0.723 0.060
11 Os 0.750 0.999 0.001
12 Os 0.250 0.001 0.999


Record 10
Density functional theory data (PBE-GGA) for a geometry-optimized Pm5Os2Pb structure.

Summary:
The value obtained for the formation energy is -0.265 eV/atom. The uncorrected energy comes out at -0.2391 Ha/atom.

a b c (Å): 7.916 7.916 9.056
angles (deg): 115.92 115.92 90.00
Atoms (fractional coordinates):
1 Pm 0.792 0.968 0.260
2 Pm 0.000 0.000 0.000
3 Pm 0.292 0.792 0.260
4 Pm 0.968 0.468 0.260
5 Pm 0.208 0.032 0.740
6 Pm 0.500 0.500 0.000
7 Pm 0.032 0.532 0.740
8 Pm 0.708 0.208 0.740
9 Pm 0.532 0.708 0.740
10 Pm 0.468 0.292 0.260
11 Os 0.363 0.863 0.000
12 Os 0.863 0.637 0.000
13 Os 0.137 0.363 0.000
14 Os 0.637 0.137 0.000
15 Pb 0.750 0.750 0.500
16 Pb 0.250 0.250 0.500


Record 11
Density functional theory data (PBE-GGA) for a geometry-optimized Pr6OsPb2 structure.

Summary:
The value obtained for the formation energy is -0.327 eV/atom. The uncorrected energy comes out at -0.2052 Ha/atom.

a b c (Å): 4.427 8.618 8.548
angles (deg): 120.27 90.00 90.00
Atoms (fractional coordinates):
1 Pr 0.000 0.764 0.769
2 Pr 0.500 0.396 0.399
3 Pr 0.000 0.243 0.000
4 Pr 0.500 0.593 0.000
5 Pr 0.500 0.997 0.601
6 Pr 0.000 0.995 0.231
7 Os 0.500 0.016 0.000
8 Pb 0.000 0.330 0.663
9 Pb 0.000 0.667 0.337


Record 12
Density functional theory data (PBE-GGA) for a geometry-optimized Pr6Os2Pb structure.

Summary:
The value obtained for the formation energy is -0.191 eV/atom. The uncorrected energy comes out at -0.2310 Ha/atom.

a b c (Å): 8.890 8.890 8.890
angles (deg): 105.78 110.40 112.30
Atoms (fractional coordinates):
1 Os 0.332 0.000 0.332
2 Os 0.500 0.616 0.116
3 Os 0.668 0.000 0.668
4 Os 0.500 0.384 0.884
5 Pr 0.315 0.644 0.329
6 Pr 0.791 0.239 0.030
7 Pr 0.209 0.239 0.448
8 Pr 0.685 0.014 0.329
9 Pr 0.209 0.761 0.970
10 Pr 0.791 0.761 0.552
11 Pr 0.315 0.986 0.671
12 Pr 0.903 0.718 0.185
13 Pr 0.685 0.356 0.671
14 Pr 0.467 0.282 0.185
15 Pr 0.533 0.718 0.815
16 Pr 0.097 0.282 0.815
17 Pb 0.000 0.500 0.500
18 Pb 0.000 0.000 0.000